Here is a geometry-optimized CsTcPd structure from the Open Quantum Materials Database. Energies are from PBE-GGA.

Properties
SG: No. 216
energy relative to the lowest polymorph listed for this composition: 0.4773 eV/atom
raw total energy: -3.407 eV/atom
volume: 79.77 Å³/cell

Cell lengths 4.832, 4.832, 4.832 Å; angles 60.00, 60.00, 60.00 degrees
Element x y z (fractional)
Cs: 0.000 0.000 0.000
Tc: 0.250 0.250 0.250
Pd: 0.750 0.750 0.750